5
Lattice="-2.333 3.099 -0.988 -1.798 -2.242 -2.786 -2.710 -1.180 2.699" Properties=species:S:1:pos:R:3 comment="P3HS PBE-GGA optimized geometry" total_magnetization_mub_per_atom=0.00 e_above_lowest_polymorph_ev_per_atom=0.000 dos_at_fermi_per_ev_atom=0.618 spacegroup=Pm-3m pbc="T T T"
P -0.899 -1.121 -1.393
P -1.355 -0.590 1.350
P -1.167 1.549 -0.494
S -3.421 -0.162 -0.538
H 0.000 0.000 0.000